Below is MgSI3 at its PBEsol-relaxed geometry, with properties calculated at the meta-GGA SCAN level.

Properties
The value obtained for the magnetization is 3.02 Bohr magnetons per cell. As for the formation energy from raw total energies: 0.24 eV/f.u. Its crystal system is cubic.

Lattice parameters (Å, degrees): 5.600 5.600 5.600 90.00 90.00 90.00
Space group Pm-3m (No. 221)
Asymmetric unit:
Mg 0.000 0.000 0.000 x1
S 0.500 0.500 0.500 x1
I 0.000 0.000 0.500 x3